## Ac2Mn2Sb2O3 (PBE with a Hubbard U)

Data for crystalline Ac2Mn2Sb2O3 at its relaxed geometry.

Computed properties:
Calculated total energy: -6.87 eV/atom
N(E_F): 4.48 states/eV per cell
Calculated volume: 21.184 A^3/atom

a = 4.344 Å, b = 4.344 Å, c = 10.559 Å
α = 101.87°, β = 101.87°, γ = 90.00°
Last column: magnetic moment on the atom in μB.
Fractional positions:
Sb  0.595  0.595  0.190  -0.23
Ac  0.811  0.811  0.623  -0.01
O  0.000  0.000  0.000  0.01
Mn  0.000  0.500  0.000  4.35
Ac  0.189  0.189  0.377  -0.01
Mn  0.500  0.000  0.000  4.35
O  0.250  0.750  0.500  -0.03
O  0.750  0.250  0.500  -0.03
Sb  0.405  0.405  0.810  -0.23